[1]
Pm5Sb3 | PBE | optimized geometry

Cell and atoms, written as POSCAR:
```
Pm5Sb3
1.0
9.264 0.000 0.000
-4.632 8.023 0.000
0.000 0.000 6.477
Pm Sb
10 6
Direct
0.000 0.249 0.250
0.000 0.751 0.750
0.249 0.000 0.250
0.249 0.249 0.750
0.333 0.667 0.000
0.333 0.667 0.500
0.667 0.333 0.000
0.667 0.333 0.500
0.751 0.000 0.750
0.751 0.751 0.250
0.000 0.387 0.750
0.000 0.613 0.250
0.387 0.000 0.750
0.387 0.387 0.250
0.613 0.000 0.250
0.613 0.613 0.750
```

Properties
calculated density = 7.52 g/cm3
space-group type = P6_3/mcm
uncorrected energy = -5.49 eV/atom
M_tot = 0.5 μB per formula unit
formation energy (no corrections) = -0.972 eV/atom

=====

[2]
Pm2Sb3 | PBE | optimized geometry

Cell and atoms, written as POSCAR:
```
Pm2Sb3
1.0
2.601 1.502 6.304
-2.601 1.502 6.304
0.000 -3.004 6.304
Pm Sb
2 3
Direct
0.092 0.092 0.092
0.908 0.908 0.908
0.330 0.330 0.330
0.500 0.500 0.500
0.670 0.670 0.670
```

Properties
calculated density = 7.36 g/cm3
space-group type = R-3m
uncorrected energy = -5.02 eV/atom
M_tot = 0.0 μB per formula unit
formation energy (no corrections) = -0.642 eV/atom

=====

[3]
Pm3Sb2 | PBE | optimized geometry

Cell and atoms, written as POSCAR:
```
Pm3Sb2
1.0
9.530 -2.242 0.000
9.530 2.242 0.000
-1.292 0.000 11.968
Pm Sb
9 6
Direct
0.000 0.000 0.000
0.041 0.041 0.658
0.291 0.291 0.403
0.327 0.327 0.099
0.356 0.356 0.743
0.644 0.644 0.257
0.673 0.673 0.901
0.709 0.709 0.597
0.959 0.959 0.342
0.124 0.124 0.443
0.165 0.165 0.080
0.485 0.485 0.180
0.515 0.515 0.820
0.835 0.835 0.920
0.876 0.876 0.557
```

Properties
calculated density = 6.61 g/cm3
space-group type = C2/m
uncorrected energy = -5.35 eV/atom
M_tot = 0.0 μB per formula unit
formation energy (no corrections) = -0.851 eV/atom

=====

[4]
PmSb6 | PBE | optimized geometry

Cell and atoms, written as POSCAR:
```
PmSb6
1.0
-4.155 4.155 4.155
4.155 -4.155 4.155
4.155 4.155 -4.155
Pm Sb
1 6
Direct
0.000 0.000 0.000
0.250 0.500 0.750
0.250 0.750 0.500
0.500 0.250 0.750
0.500 0.750 0.250
0.750 0.250 0.500
0.750 0.500 0.250
```

Properties
calculated density = 5.07 g/cm3
space-group type = Im-3m
uncorrected energy = -3.68 eV/atom
M_tot = 1.1 μB per formula unit
formation energy (no corrections) = 0.531 eV/atom